[1]
The following is a PBE calculation of Sc2Se2O after structural relaxation, from Alexandria.

Cell lengths 6.538, 6.538, 7.402 Å; angles 117.34, 117.34, 49.12 degrees
Atoms (fractional coordinates):
Sc 0.023 0.023 0.315
Sc 0.308 0.308 0.879
Sc 0.692 0.692 0.121
Sc 0.977 0.977 0.685
Se 0.180 0.180 0.109
Se 0.462 0.462 0.719
Se 0.538 0.538 0.281
Se 0.820 0.820 0.891
O 0.127 0.127 0.630
O 0.873 0.873 0.370

As for the theoretical density: 4.2 g/cm3. The raw formation energy is -2.2850 eV/atom.

---

[2]
The following is a PBE calculation of Pr2Nd2YEr after structural relaxation, from Alexandria.

Cell lengths 7.143, 5.748, 9.974 Å; angles 90.00, 90.00, 90.00 degrees
Atoms (fractional coordinates):
Pr 0.000 0.000 0.000
Pr 0.250 0.500 0.176
Pr 0.500 0.000 0.000
Pr 0.750 0.500 0.824
Nd 0.250 0.000 0.331
Nd 0.250 0.500 0.837
Nd 0.750 0.000 0.669
Nd 0.750 0.500 0.163
Y 0.000 0.500 0.500
Y 0.500 0.500 0.500
Er 0.250 0.000 0.659
Er 0.750 0.000 0.341

As for the theoretical density: 6.7 g/cm3. The calculated formation energy comes out at 0.3 eV per formula unit. As for the density of states at the Fermi level: 1.49 states/eV per atom.

---

[3]
The following is a PBE calculation of BaLiPu2Br8 after structural relaxation, from Alexandria.

Cell lengths 6.937, 8.967, 7.160 Å; angles 90.00, 93.43, 90.00 degrees
Atoms (fractional coordinates):
Ba 0.000 0.000 0.000
Li 0.000 0.500 0.000
Pu 0.500 0.264 0.500
Pu 0.500 0.736 0.500
Br 0.234 0.282 0.165
Br 0.234 0.718 0.165
Br 0.272 0.500 0.661
Br 0.279 0.000 0.640
Br 0.721 0.000 0.360
Br 0.728 0.500 0.339
Br 0.766 0.282 0.835
Br 0.766 0.718 0.835

As for the theoretical density: 4.7 g/cm3. The raw formation energy is -1.6582 eV/atom. As for the density of states at the Fermi level: 2.42 states/eV per atom.

---

[4]
The following is a PBE calculation of NdTm3Th2Bi6 after structural relaxation, from Alexandria.

Cell lengths 10.088, 10.088, 9.017 Å; angles 102.61, 102.61, 25.93 degrees
Atoms (fractional coordinates):
Nd 0.000 0.000 0.000
Tm 0.000 0.000 0.500
Tm 0.335 0.335 0.167
Tm 0.665 0.665 0.833
Th 0.334 0.334 0.669
Th 0.666 0.666 0.331
Bi 0.164 0.164 0.590
Bi 0.170 0.170 0.076
Bi 0.497 0.497 0.257
Bi 0.503 0.503 0.743
Bi 0.830 0.830 0.924
Bi 0.836 0.836 0.410

As for the theoretical density: 10.1 g/cm3. The calculated formation energy comes out at -8.9 eV per formula unit. As for the density of states at the Fermi level: 0.41 states/eV per atom.

---

[5]
The following is a PBE calculation of LiTlP2PbO after structural relaxation, from Alexandria.

Cell lengths 6.043, 3.315, 7.308 Å; angles 90.00, 110.80, 90.00 degrees
Atoms (fractional coordinates):
Li 0.000 0.000 0.000
Tl 0.795 0.500 0.527
P 0.395 0.000 0.947
P 0.637 0.500 0.094
Pb 0.307 0.000 0.549
O 0.864 0.500 0.032

As for the theoretical density: 6.0 g/cm3. The raw formation energy is -0.7070 eV/atom. As for the density of states at the Fermi level: 0.10 states/eV per atom.

---

[6]
The following is a PBE calculation of AgTe2 after structural relaxation, from Alexandria.

Cell lengths 5.255, 5.255, 3.180 Å; angles 90.00, 90.00, 90.00 degrees
Atoms (fractional coordinates):
Ag 0.000 0.000 0.000
Te 0.000 0.500 0.500
Te 0.500 0.000 0.500

As for the theoretical density: 6.9 g/cm3. The raw formation energy is 0.2135 eV/atom. As for the density of states at the Fermi level: 0.51 states/eV per atom.

---

[7]
The following is a PBE calculation of VCo3H after structural relaxation, from Alexandria.

Cell lengths 6.595, 6.595, 6.595 Å; angles 38.72, 38.72, 38.72 degrees
Atoms (fractional coordinates):
V 0.165 0.165 0.165
V 0.835 0.835 0.835
Co 0.057 0.733 0.389
Co 0.267 0.611 0.943
Co 0.389 0.057 0.733
Co 0.611 0.943 0.267
Co 0.733 0.389 0.057
Co 0.943 0.267 0.611
H 0.334 0.334 0.334
H 0.666 0.666 0.666

As for the theoretical density: 7.5 g/cm3. As for the density of states at the Fermi level: 1.36 states/eV per atom. For the total energy, the calculation gives -0.240 hartree per atom.

---

[8]
The following is a PBE calculation of TlCr5Se8 after structural relaxation, from Alexandria.

Cell lengths 9.680, 9.680, 9.065 Å; angles 104.98, 104.98, 21.92 degrees
Atoms (fractional coordinates):
Tl 0.000 0.000 0.000
Cr 0.158 0.158 0.475
Cr 0.204 0.204 0.834
Cr 0.500 0.500 0.500
Cr 0.796 0.796 0.166
Cr 0.842 0.842 0.525
Se 0.076 0.076 0.653
Se 0.262 0.262 0.344
Se 0.329 0.329 0.011
Se 0.416 0.416 0.677
Se 0.584 0.584 0.323
Se 0.671 0.671 0.989
Se 0.738 0.738 0.656
Se 0.924 0.924 0.347

As for the theoretical density: 5.9 g/cm3. The raw formation energy is -0.5359 eV/atom. As for the density of states at the Fermi level: 0.10 states/eV per atom.

---

The highest theoretical density belongs to which entry? NdTm3Th2Bi6

---

What is the theoretical density in the fourth record? 10.1 g/cm3

---

theoretical density of number 7 (VCo3H)? 7.5 g/cm3